Computed, not measured: a relaxed structure of VC2O6 at the PBE+U level of DFT.

## Properties
- VASP energy: -137.8 eV/cell
- E above lowest polymorph: 13 meV per atom

a b c (Å): 6.1451 6.1451 6.8852
angles (deg): 104.02 104.02 93.07
Last column: magnetic moment on the atom in μB.
Fractional coordinates of all 18 atoms:
C1 0.1057 0.3105 0.6962  0.01
C2 0.6895 0.8943 0.8038  0.01
C3 0.8943 0.6895 0.3038  0.01
C4 0.3105 0.1057 0.1962  0.01
V1 0.1707 0.8293 0.7500  1.06
V2 0.8293 0.1707 0.2500  1.06
O1 0.9209 0.2559 0.5408  -0.04
O2 0.1568 0.2027 0.2674  -0.01
O3 0.8136 0.4844 0.2211  -0.01
O4 0.2027 0.1568 0.7674  -0.01
O5 0.0791 0.7441 0.4592  -0.04
O6 0.7973 0.8432 0.2326  -0.01
O7 0.7441 0.0791 0.9592  -0.04
O8 0.5156 0.1864 0.2789  -0.01
O9 0.2559 0.9209 0.0408  -0.04
O10 0.4844 0.8136 0.7211  -0.01
O11 0.8432 0.7973 0.7326  -0.01
O12 0.1864 0.5156 0.7789  -0.01